Computed, not measured: crystalline BRhAuCl at its relaxed geometry at the GGA-PBE level of DFT.

abc: 2.9282 2.9284 9.2476
angles: 92.53 91.91 120.00
Positions (direct):
B: 0.0000 0.0000 0.0000
Rh: 0.6997 0.3696 0.1416
Au: 0.0942 0.1041 0.4056
Cl: 0.9558 0.9516 0.8144

Output
DFT total energy: -19.505 eV/cell
SG: P1
formation energy from raw total energies: -0.09 eV/atom

=====

Computed, not measured: crystalline BRhAuCl at its relaxed geometry at the GGA-PBE level of DFT.

abc: 3.1160 4.6080 5.4867
angles: 90.00 90.00 90.00
Positions (direct):
B: 0.0000 0.0000 0.0000
Rh: 0.5000 0.0000 0.7741
Au: 0.5000 0.0000 0.2790
Cl: 0.5000 0.5000 0.6516

Output
DFT total energy: -18.754 eV/cell
SG: Pmm2
formation energy from raw total energies: 0.10 eV/atom

=====

Number 1: excess energy over the best structure of this formula in the dataset 0 meV per atom. Number 2: excess energy over the best structure of this formula in the dataset 188 meV per atom.